NdInPb3 GGA-PBE relaxed; M_tot = 0.0 μB per formula unit; excess energy over the best structure of this formula in the dataset = 0.000 eV per atom; total energy = -3.9476 eV/atom
1.0
4.4657 0.0000 0.0000
2.2016 5.7427 0.0000
2.2309 0.0933 5.7614
Nd In Pb
1 1 3
direct
0.0000 0.0000 0.0000 Nd
0.1999 0.3975 0.2042 In
0.3949 0.7958 0.4124 Pb
0.6167 0.1869 0.5854 Pb
0.7967 0.5809 0.8301 Pb